# GaRhC3 | Alexandria | PBE-GGA | relaxed
# E_tot (eV for the cell shown): -27.1
# ρ (g/cm3): 5.3
# Density of states at the Fermi level (states/eV/f.u.): 1.23
data_GaRhC3
_cell_length_a 4.016
_cell_length_b 4.016
_cell_length_c 4.016
_cell_angle_alpha 90.00
_cell_angle_beta 90.00
_cell_angle_gamma 90.00
_symmetry_space_group_name_H-M 'P m -3 m'
_symmetry_Int_Tables_number 221
_symmetry_space_group_name_Hall '-P 4 2 3'
loop_
_atom_site_label
_atom_site_fract_x
_atom_site_fract_y
_atom_site_fract_z
_atom_site_occupancy
Ga1 0.000 0.000 0.000 1
Rh1 0.500 0.500 0.500 1
C1 0.000 0.500 0.500 1